## MgP (PBE)

Data for an optimized crystal structure of MgP.

extended XYZ file:
```
2
Lattice="3.142 -0.064 0.000 -0.552 3.094 0.000 0.000 0.000 3.617" Properties=species:S:1:pos:R:3 pbc="T T T"
Mg 0.000 0.000 0.000
P 1.295 1.515 1.809
```

## Properties
ΔE_f ... -0.149 eV per atom
VASP energy ... -3.65 eV per atom
Total moment ... 0.0 μB/cell